Entry 1:
This record from Alexandria via LeMat-Bulk describes an optimized crystal structure of Pr2ZnOs. The functional is GGA-PBE.

volume	145.94	Å³ per cell
crystal system	trigonal
N(E_F)	0.765	states/eV/atom
offset from the most stable computed form	492	meV per atom
formation energy from the elements	0.3313	eV/atom

Lattice parameters (Å, degrees): 4.161 4.161 10.026 78.02 78.02 60.00
Sites, in units of the cell vectors:
Pr (0.115, 0.115, 0.656)
Pr (0.885, 0.885, 0.344)
Zn (0.000, 0.000, 0.000)
Os (0.500, 0.500, 0.500)

---

Entry 2:
This record from Alexandria via LeMat-Bulk describes an optimized crystal structure of Pr4ZnOs. The functional is GGA-PBE.

volume	687.52	Å³ per cell
crystal system	cubic
N(E_F)	1.003	states/eV/atom
offset from the most stable computed form	0	meV per atom
formation energy from the elements	-0.1339	eV/atom

Lattice parameters (Å, degrees): 9.907 9.907 9.907 60.00 60.00 60.00
Sites, in units of the cell vectors:
Pr (0.402, 0.402, 0.402)
Pr (0.794, 0.402, 0.402)
Pr (0.402, 0.794, 0.402)
Pr (0.402, 0.402, 0.794)
Pr (0.556, 0.556, 0.944)
Pr (0.944, 0.944, 0.556)
Pr (0.556, 0.944, 0.556)
Pr (0.944, 0.556, 0.944)
Pr (0.944, 0.556, 0.556)
Pr (0.556, 0.944, 0.944)
Pr (0.191, 0.191, 0.809)
Pr (0.809, 0.809, 0.191)
Pr (0.191, 0.809, 0.191)
Pr (0.809, 0.191, 0.809)
Pr (0.809, 0.191, 0.191)
Pr (0.191, 0.809, 0.809)
Zn (0.174, 0.174, 0.174)
Zn (0.477, 0.174, 0.174)
Zn (0.174, 0.477, 0.174)
Zn (0.174, 0.174, 0.477)
Os (0.612, 0.612, 0.612)
Os (0.165, 0.612, 0.612)
Os (0.612, 0.165, 0.612)
Os (0.612, 0.612, 0.165)